Record 1
First-principles (PBE-GGA) data for ZrOsPt after structural relaxation, as listed in the Alexandria database.

```
ZrOsPt
1.0
-1.401 2.026 4.499
1.401 -2.026 4.499
1.401 2.026 -4.499
Zr Os Pt
1 1 1
Cartesian
0.000 0.000 0.000
0.000 0.000 6.044
0.000 0.000 2.872
```

Results
E_tot   -8.871 eV per atom
DOS at the Fermi energy   0.959 states/eV per atom
Excess energy over the best structure of this formula in the dataset   0.307 eV/atom
Total moment   0.00 μB/f.u.
Formation energy from the elements   -0.265 eV per atom

Record 2
First-principles (PBE-GGA) data for PuOs2 after structural relaxation, as listed in the Alexandria database.

```
PuOs2
1.0
5.332 0.000 0.000
-2.666 4.618 0.000
0.000 0.000 8.761
Pu Os
4 8
Cartesian
0.000 3.078 0.596
0.000 3.078 3.784
2.666 1.539 4.977
2.666 1.539 8.164
0.000 0.000 0.000
0.000 0.000 4.380
0.000 1.578 6.570
-1.300 3.829 6.570
1.366 0.789 2.190
1.300 3.829 6.570
3.966 0.789 2.190
2.666 3.040 2.190
```

Results
E_tot   -12.361 eV per atom
DOS at the Fermi energy   2.740 states/eV per atom
Total moment   4.36 μB/f.u.
Formation energy from the elements   -0.097 eV per atom

Record 3
First-principles (PBE-GGA) data for Pu5Os after structural relaxation, as listed in the Alexandria database.

```
Pu5Os
1.0
2.552 -7.441 0.000
2.552 7.441 0.000
0.000 0.000 3.189
Pu Os
5 1
Cartesian
0.000 0.000 0.000
2.552 5.015 1.595
2.552 2.362 0.000
2.552 -2.362 0.000
2.552 -5.015 1.595
2.552 0.000 1.595
```

Results
E_tot   -13.700 eV per atom
DOS at the Fermi energy   3.652 states/eV per atom
Total moment   4.50 μB/f.u.
Formation energy from the elements   0.115 eV per atom